First-principles (PBE+U) data for crystalline Ba2PmWO6 at its relaxed geometry, as listed in Alexandria via LeMat-Bulk.

abc: 6.0734 6.1373 8.7100
angles: 90.00 90.00 90.00
Last column: nearest neighbours and their distance in Å.
Positions (direct):
Ba  0.5000  0.7503  0.2510  12 O 3.04-3.09
Ba  0.0000  0.2497  0.7510  12 O 3.04-3.09
Ba  0.5000  0.7503  0.7490  12 O 3.04-3.09
Ba  0.0000  0.2497  0.2490  12 O 3.04-3.09
Pm  0.0000  0.7498  0.5000  6 O 2.31
Pm  0.5000  0.2502  0.0000  6 O 2.31
W  0.5000  0.2498  0.5000  6 O 2.00-2.05
W  0.0000  0.7502  0.0000  6 O 2.00-2.05
O  0.5000  0.2497  0.2651  1 W 2.05
O  0.5000  0.2497  0.7349  1 W 2.05
O  0.0000  0.7503  0.2349  1 W 2.05
O  0.0000  0.7503  0.7651  1 W 2.05
O  0.2711  0.0149  0.5000  1 W 2.00
O  0.7289  0.0149  0.5000  1 W 2.00
O  0.2710  0.4846  0.5000  1 W 2.00
O  0.7290  0.4846  0.5000  1 W 2.00
O  0.7710  0.5154  0.0000  1 W 2.00
O  0.2290  0.5154  0.0000  1 W 2.00
O  0.2289  0.9851  0.0000  1 W 2.00
O  0.7711  0.9851  0.0000  1 W 2.00

DOS at the Fermi energy   0.000 states/eV per atom
VASP energy   -7.345 eV per atom